1.
DFT (PBE) results for an optimized crystal structure of VMo3W.

The structure in POSCAR format:
```
VMo3W
1.0
4.431 0.000 0.000
0.000 4.443 0.000
-2.201 0.000 7.842
V Mo W
2 6 2
direct
0.250 0.250 0.001 V
0.750 0.750 0.999 V
0.052 0.250 0.604 Mo
0.152 0.750 0.804 Mo
0.348 0.750 0.196 Mo
0.652 0.250 0.804 Mo
0.848 0.250 0.196 Mo
0.948 0.750 0.396 Mo
0.448 0.250 0.396 W
0.552 0.750 0.604 W
```

Results
E above lowest polymorph = 0.00 kJ per mole of atoms
Uncorrected energy = -11.003 eV/atom
Calculated formation energy = -0.0899 eV/atom



2.
DFT (PBE) results for an optimized crystal structure of GaPN2.

The structure in POSCAR format:
```
GaPN2
1.0
-2.171 2.171 5.064
2.171 -2.171 5.064
2.171 2.171 -5.064
Ga P N
2 2 4
direct
0.000 0.000 0.000 Ga
0.750 0.250 0.500 Ga
0.250 0.750 0.500 P
0.500 0.500 0.000 P
0.142 0.625 0.017 N
0.375 0.392 0.517 N
0.608 0.125 0.983 N
0.875 0.858 0.483 N
```

Results
E above lowest polymorph = 53.42 kJ per mole of atoms
Uncorrected energy = -5.798 eV/atom
Energy relative to the elements, uncorrected = 473.7 meV/atom



3.
DFT (PBE) results for an optimized crystal structure of Sr4Hg3Bi.

The structure in POSCAR format:
```
Sr4Hg3Bi
1.0
-2.833 2.833 8.273
2.833 -2.833 8.273
2.833 2.833 -8.273
Sr Hg Bi
4 3 1
direct
0.129 0.629 0.500 Sr
0.371 0.871 0.500 Sr
0.629 0.129 0.500 Sr
0.871 0.371 0.500 Sr
0.000 0.000 0.000 Hg
0.245 0.245 0.000 Hg
0.755 0.755 0.000 Hg
0.500 0.500 0.000 Bi
```

Results
Uncorrected energy = -2.081 eV/atom
Calculated formation energy = -0.6415 eV/atom



4.
DFT (PBE) results for an optimized crystal structure of Cr2FeIr2.

The structure in POSCAR format:
```
Cr2FeIr2
1.0
7.177 0.000 0.000
0.000 7.177 0.000
0.000 0.000 2.675
Cr Fe Ir
4 2 4
direct
0.117 0.383 0.000 Cr
0.383 0.883 0.000 Cr
0.617 0.117 0.000 Cr
0.883 0.617 0.000 Cr
0.000 0.000 0.000 Fe
0.500 0.500 0.000 Fe
0.174 0.674 0.500 Ir
0.326 0.174 0.500 Ir
0.674 0.826 0.500 Ir
0.826 0.326 0.500 Ir
```

Results
E above lowest polymorph = 0.00 kJ per mole of atoms
Uncorrected energy = -8.995 eV/atom
Calculated formation energy = 0.0908 eV/atom



5.
DFT (PBE) results for an optimized crystal structure of Pm7Nd4In.

The structure in POSCAR format:
```
Pm7Nd4In
1.0
8.144 -3.035 0.000
8.144 3.035 0.000
-4.086 0.000 8.526
Pm Nd In
7 4 1
direct
0.000 0.000 0.000 Pm
0.223 0.223 0.899 Pm
0.345 0.345 0.656 Pm
0.433 0.433 0.277 Pm
0.567 0.567 0.723 Pm
0.655 0.655 0.344 Pm
0.777 0.777 0.101 Pm
0.098 0.098 0.488 Nd
0.227 0.227 0.271 Nd
0.773 0.773 0.729 Nd
0.902 0.902 0.512 Nd
0.500 0.500 0.000 In
```

Results
Uncorrected energy = -4.469 eV/atom
Calculated formation energy = 0.1192 eV/atom



6.
DFT (PBE) results for an optimized crystal structure of SmEr5Tm12.

The structure in POSCAR format:
```
SmEr5Tm12
1.0
2.474 -7.432 0.000
2.474 7.432 0.000
0.000 0.000 14.826
Sm Er Tm
1 5 12
direct
0.000 0.000 0.000 Sm
0.167 0.833 0.500 Er
0.333 0.667 0.000 Er
0.500 0.500 0.500 Er
0.667 0.333 0.000 Er
0.833 0.167 0.500 Er
0.000 0.000 0.334 Tm
0.000 0.000 0.666 Tm
0.167 0.833 0.168 Tm
0.167 0.833 0.832 Tm
0.333 0.667 0.334 Tm
0.333 0.667 0.666 Tm
0.500 0.500 0.168 Tm
0.500 0.500 0.832 Tm
0.667 0.333 0.334 Tm
0.667 0.333 0.666 Tm
0.833 0.167 0.168 Tm
0.833 0.167 0.832 Tm
```

Results
Uncorrected energy = -4.485 eV/atom
Calculated formation energy = 0.0255 eV/atom



7.
DFT (PBE) results for an optimized crystal structure of HfCr2Re2.

The structure in POSCAR format:
```
HfCr2Re2
1.0
7.339 0.000 0.000
0.000 7.339 0.000
0.000 0.000 2.802
Hf Cr Re
2 4 4
direct
0.000 0.000 0.000 Hf
0.500 0.500 0.000 Hf
0.144 0.356 0.000 Cr
0.356 0.856 0.000 Cr
0.644 0.144 0.000 Cr
0.856 0.644 0.000 Cr
0.153 0.653 0.500 Re
0.347 0.153 0.500 Re
0.653 0.847 0.500 Re
0.847 0.347 0.500 Re
```

Results
E above lowest polymorph = 1.05 kJ per mole of atoms
Uncorrected energy = -10.656 eV/atom
Calculated formation energy = 0.1635 eV/atom



8.
DFT (PBE) results for an optimized crystal structure of AlIrSe3.

The structure in POSCAR format:
```
AlIrSe3
1.0
4.939 0.000 0.000
0.000 4.939 0.000
0.000 0.000 4.939
Al Ir Se
1 1 3
direct
0.000 0.000 0.000 Al
0.500 0.500 0.500 Ir
0.000 0.500 0.500 Se
0.500 0.000 0.500 Se
0.500 0.500 0.000 Se
```

Results
E above lowest polymorph = 0.00 kJ per mole of atoms
Uncorrected energy = -4.112 eV/atom
Energy relative to the elements, uncorrected = 499.9 meV/atom



9.
DFT (PBE) results for an optimized crystal structure of TaSiSe2.

The structure in POSCAR format:
```
TaSiSe2
1.0
3.263 0.000 0.000
0.000 3.263 0.000
0.000 0.000 7.728
Ta Si Se
1 1 2
direct
0.000 0.000 0.000 Ta
0.500 0.500 0.816 Si
0.000 0.000 0.651 Se
0.500 0.500 0.199 Se
```

Results
Uncorrected energy = -6.408 eV/atom
Energy relative to the elements, uncorrected = -346.9 meV/atom



10.
DFT (PBE) results for an optimized crystal structure of Ce3PrSb3.

The structure in POSCAR format:
```
Ce3PrSb3
1.0
9.215 0.000 0.000
-4.608 7.981 0.000
0.000 0.000 5.743
Ce Pr Sb
6 2 6
direct
0.014 0.246 0.250 Ce
0.232 0.986 0.250 Ce
0.246 0.232 0.750 Ce
0.754 0.768 0.250 Ce
0.768 0.014 0.750 Ce
0.986 0.754 0.750 Ce
0.333 0.667 0.250 Pr
0.667 0.333 0.750 Pr
0.064 0.437 0.750 Sb
0.374 0.936 0.750 Sb
0.437 0.374 0.250 Sb
0.563 0.626 0.750 Sb
0.626 0.064 0.250 Sb
0.936 0.563 0.250 Sb
```

Results
Uncorrected energy = -5.663 eV/atom
Energy relative to the elements, uncorrected = -670.2 meV/atom



11.
DFT (PBE) results for an optimized crystal structure of La2Pm4Pr2Y.

The structure in POSCAR format:
```
La2Pm4Pr2Y
1.0
9.628 -1.856 0.000
9.628 1.856 0.000
-4.274 0.000 8.896
La Pm Pr Y
2 4 2 1
direct
0.166 0.166 0.000 La
0.834 0.834 0.000 La
0.019 0.019 0.331 Pm
0.315 0.315 0.666 Pm
0.685 0.685 0.334 Pm
0.981 0.981 0.669 Pm
0.352 0.352 0.334 Pr
0.648 0.648 0.666 Pr
0.500 0.500 0.000 Y
```

Results
Uncorrected energy = -4.976 eV/atom
Calculated formation energy = 0.0105 eV/atom



12.
DFT (PBE) results for an optimized crystal structure of BeBNF2.

The structure in POSCAR format:
```
BeBNF2
1.0
4.127 0.000 0.000
0.000 4.127 0.000
0.000 0.000 2.719
Be B N F
1 1 1 2
direct
0.000 0.000 0.000 Be
0.500 0.500 0.500 B
0.500 0.500 0.000 N
0.000 0.500 0.500 F
0.500 0.000 0.500 F
```

Results
E above lowest polymorph = 0.00 kJ per mole of atoms
Uncorrected energy = -4.948 eV/atom
Energy relative to the elements, uncorrected = -453.8 meV/atom



13.
DFT (PBE) results for an optimized crystal structure of BaBe2P2.

The structure in POSCAR format:
```
BaBe2P2
1.0
0.000 5.155 5.296
3.343 0.000 5.296
3.343 5.155 0.000
Ba Be P
2 4 4
direct
0.125 0.125 0.125 Ba
0.875 0.875 0.875 Ba
0.247 0.247 0.503 Be
0.497 0.497 0.753 Be
0.503 0.503 0.247 Be
0.753 0.753 0.497 Be
0.200 0.550 0.200 P
0.450 0.800 0.450 P
0.550 0.200 0.550 P
0.800 0.450 0.800 P
```

Results
Uncorrected energy = -4.701 eV/atom
Calculated formation energy = -0.6618 eV/atom



14.
DFT (PBE) results for an optimized crystal structure of ErTaTcC3.

The structure in POSCAR format:
```
ErTaTcC3
1.0
6.868 0.000 0.000
0.000 3.238 0.000
-0.675 0.000 7.736
Er Ta Tc C
2 2 2 6
direct
0.154 0.250 0.177 Er
0.846 0.750 0.823 Er
0.367 0.750 0.872 Ta
0.633 0.250 0.128 Ta
0.125 0.250 0.593 Tc
0.875 0.750 0.407 Tc
0.141 0.250 0.854 C
0.176 0.750 0.454 C
0.417 0.750 0.138 C
0.583 0.250 0.862 C
0.824 0.250 0.546 C
0.859 0.750 0.146 C
```

Results
Uncorrected energy = -9.115 eV/atom
Calculated formation energy = -0.0393 eV/atom



15.
DFT (PBE) results for an optimized crystal structure of UHg2Bi.

The structure in POSCAR format:
```
UHg2Bi
1.0
4.546 0.000 0.000
0.000 4.546 0.000
0.000 0.000 5.055
U Hg Bi
1 2 1
direct
0.000 0.000 0.000 U
0.000 0.500 0.500 Hg
0.500 0.000 0.500 Hg
0.500 0.500 0.000 Bi
```

Results
E above lowest polymorph = 0.00 kJ per mole of atoms
Uncorrected energy = -3.896 eV/atom
Calculated formation energy = 0.0470 eV/atom



16.
DFT (PBE) results for an optimized crystal structure of CaHgCl.

The structure in POSCAR format:
```
CaHgCl
1.0
0.000 3.606 3.606
3.606 0.000 3.606
3.606 3.606 0.000
Ca Hg Cl
1 1 1
direct
0.000 0.000 0.000 Ca
0.750 0.750 0.750 Hg
0.250 0.250 0.250 Cl
```

Results
E above lowest polymorph = 31.68 kJ per mole of atoms
Uncorrected energy = -2.252 eV/atom
Energy relative to the elements, uncorrected = -868.7 meV/atom



17.
DFT (PBE) results for an optimized crystal structure of Ca3Pu3GaN8.

The structure in POSCAR format:
```
Ca3Pu3GaN8
1.0
3.363 1.942 5.653
-3.363 1.942 5.653
0.000 -3.884 5.653
Ca Pu Ga N
3 3 1 8
direct
0.000 0.500 0.500 Ca
0.500 0.000 0.500 Ca
0.500 0.500 0.000 Ca
0.000 0.000 0.500 Pu
0.000 0.500 0.000 Pu
0.500 0.000 0.000 Pu
0.500 0.500 0.500 Ga
0.235 0.732 0.732 N
0.241 0.241 0.241 N
0.268 0.268 0.765 N
0.268 0.765 0.268 N
0.732 0.235 0.732 N
0.732 0.732 0.235 N
0.759 0.759 0.759 N
0.765 0.268 0.268 N
```

Results
Uncorrected energy = -8.726 eV/atom
Energy relative to the elements, uncorrected = -817.1 meV/atom



18.
DFT (PBE) results for an optimized crystal structure of TlSi2Au2.

The structure in POSCAR format:
```
TlSi2Au2
1.0
-2.234 2.234 5.138
2.234 -2.234 5.138
2.234 2.234 -5.138
Tl Si Au
1 2 2
direct
0.000 0.000 0.000 Tl
0.379 0.379 0.000 Si
0.621 0.621 0.000 Si
0.250 0.750 0.500 Au
0.750 0.250 0.500 Au
```

Results
E above lowest polymorph = 0.00 kJ per mole of atoms
Uncorrected energy = -3.869 eV/atom
Energy relative to the elements, uncorrected = 84.1 meV/atom



19.
DFT (PBE) results for an optimized crystal structure of Rb2NbO5.

The structure in POSCAR format:
```
Rb2NbO5
1.0
6.539 0.000 0.000
0.000 6.539 0.000
0.000 0.000 4.095
Rb Nb O
2 1 5
direct
0.000 0.500 0.000 Rb
0.500 0.000 0.000 Rb
0.000 0.000 0.500 Nb
0.000 0.000 0.000 O
0.213 0.213 0.500 O
0.213 0.787 0.500 O
0.787 0.213 0.500 O
0.787 0.787 0.500 O
```

Results
Uncorrected energy = -6.016 eV/atom
Energy relative to the elements, uncorrected = -1416.5 meV/atom



20.
DFT (PBE) results for an optimized crystal structure of Pr5SmIn3.

The structure in POSCAR format:
```
Pr5SmIn3
1.0
9.673 0.000 0.000
-4.837 8.377 0.000
0.000 0.000 6.982
Pr Sm In
10 2 6
direct
0.000 0.336 0.250 Pr
0.000 0.664 0.750 Pr
0.333 0.667 0.000 Pr
0.333 0.667 0.500 Pr
0.336 0.000 0.250 Pr
0.336 0.336 0.750 Pr
0.664 0.000 0.750 Pr
0.664 0.664 0.250 Pr
0.667 0.333 0.000 Pr
0.667 0.333 0.500 Pr
0.000 0.000 0.000 Sm
0.000 0.000 0.500 Sm
0.000 0.328 0.750 In
0.000 0.672 0.250 In
0.328 0.000 0.750 In
0.328 0.328 0.250 In
0.672 0.000 0.250 In
0.672 0.672 0.750 In
```

Results
Uncorrected energy = -4.433 eV/atom
Calculated formation energy = -0.3409 eV/atom



Size of the total moment, record by record: 0.000, 0.000, 0.000, 4.596, 0.000, 0.000, 0.000, 0.000, 0.000, 7.846, 0.000, 0.000, 0.000, 0.000, 2.924, 0.000, 9.000, 0.000, 3.000, 0.985 Bohr magnetons per cell